Compound: ScBeFe2
Source: Alexandria
Functional: PBE
Structure: optimized geometry

Properties
The calculation puts the total magnetization at 1.024 μB/atom. The crystal system is tetragonal. Its formation energy from the elements is 57 meV per atom. As for the space-group type: P4/mmm.

a = 2.685 Å, b = 2.685 Å, c = 7.082 Å
α = 90.00°, β = 90.00°, γ = 90.00°
Fractional coordinates of all 4 atoms:
Sc1 0.000 0.000 0.000
Be1 0.000 0.000 0.500
Fe1 0.500 0.500 0.303
Fe2 0.500 0.500 0.697